1.
The following is a DFT calculation (GGA-PBE) of an optimized crystal structure of PrCd12Au6.

The calculation puts the total energy at -2.032 eV per atom. As for the magnetic moment: 0.0 μB/f.u. The density of states at the Fermi level is 12.99 states/eV/cell. The calculated formation energy comes out at -0.168 eV/atom.

The space group is R-3m (No. 166, hexagonal axes) and the conventional cell measures 12.6301, 12.6301 and 9.4130 Å, with angles of 90.00, 90.00 and 120.00 degrees. The inequivalent atoms are Pr at (0.0000, 0.0000, 0.0000), Cd at (0.0000, 0.3867, 0.5000), Cd at (0.0827, 0.1655, 0.3069) and Au at (0.0494, 0.5247, 0.2421).

---

2.
The following is a DFT calculation (GGA-PBE) of an optimized crystal structure of Pa2CuWN5.

The calculation puts the total energy at -9.507 eV per atom. As for the magnetic moment: 0.0 μB/f.u. The density of states at the Fermi level is 16.25 states/eV/cell. The formation energy (no corrections) comes out at -876.8 meV per atom.

The space group is Cmc2_1 (No. 36) and the conventional cell measures 3.2572, 13.2554 and 9.9111 Å, with angles of 90.00, 90.00 and 90.00 degrees. The inequivalent atoms are Pa at (0.0000, 0.1153, 0.0000), Pa at (0.0000, 0.1347, 0.6151), Cu at (0.0000, 0.4885, 0.7822), W at (0.0000, 0.1907, 0.3166), N at (0.0000, 0.0526, 0.3782), N at (0.0000, 0.2911, 0.9649), N at (0.0000, 0.3037, 0.6709), N at (0.0000, 0.3514, 0.3181) and N at (0.0000, 0.4947, 0.0846).

---

3.
The following is a DFT calculation (GGA-PBE) of an optimized crystal structure of LiPu2Ga3Au12.

The calculation puts the total energy at -4.548 eV per atom. As for the magnetic moment: 11.9 μB/f.u. The density of states at the Fermi level is 93.47 states/eV/cell. The calculated formation energy comes out at -0.159 eV/atom.

The space group is R-3m (No. 166, hexagonal axes) and the conventional cell measures 5.7032, 5.7032 and 39.5506 Å, with angles of 90.00, 90.00 and 120.00 degrees. The inequivalent atoms are Li at (0.0000, 0.0000, 0.0000), Pu at (0.0000, 0.0000, 0.3525), Ga at (0.0000, 0.5000, 0.5000), Au at (0.9996, 0.4998, 0.3847) and Au at (0.0083, 0.5041, 0.1127).

---

4.
The following is a DFT calculation (GGA-PBE) of an optimized crystal structure of Dy2Ni3Sn5.

The calculation puts the total energy at -5.141 eV per atom. As for the magnetic moment: 0.0 μB/f.u. The density of states at the Fermi level is 14.08 states/eV/cell. The calculated formation energy comes out at -0.485 eV/atom.

The space group is Cmc2_1 (No. 36) and the conventional cell measures 4.3431, 26.1493 and 7.1934 Å, with angles of 90.00, 90.00 and 90.00 degrees. The inequivalent atoms are Dy at (0.0000, 0.0258, 0.0000), Dy at (0.0000, 0.3282, 0.0125), Ni at (0.0000, 0.1055, 0.7433), Ni at (0.0000, 0.2777, 0.5321), Ni at (0.0000, 0.4512, 0.7782), Sn at (0.0000, 0.0932, 0.3755), Sn at (0.0000, 0.2026, 0.8125), Sn at (0.0000, 0.2130, 0.2364), Sn at (0.0000, 0.3796, 0.5033) and Sn at (0.0000, 0.4520, 0.1638).

---

5.
The following is a DFT calculation (GGA-PBE) of an optimized crystal structure of NaAc2Ge.

The calculation puts the total energy at -3.783 eV per atom. As for the magnetic moment: 0.0 μB/f.u. The density of states at the Fermi level is 12.53 states/eV/cell. The calculated formation energy comes out at -0.245 eV/atom.

The space group is R-3m (No. 166, hexagonal axes) and the conventional cell measures 4.4449, 4.4449 and 29.6544 Å, with angles of 90.00, 90.00 and 120.00 degrees. The inequivalent atoms are Na at (0.0000, 0.0000, 0.0000), Ac at (0.0000, 0.0000, 0.2266) and Ge at (0.0000, 0.0000, 0.5000).

---

6.
The following is a DFT calculation (GGA-PBE) of an optimized crystal structure of Ac6TlRh2I3.

The calculation puts the total energy at -4.744 eV per atom. As for the magnetic moment: 0.0 μB/f.u. The density of states at the Fermi level is 9.54 states/eV/cell. The formation energy (no corrections) comes out at -879.8 meV per atom.

The space group is C2/m (No. 12) and the conventional cell measures 7.8710, 13.6324 and 9.0003 Å, with angles of 90.00, 107.05 and 90.00 degrees. The inequivalent atoms are Ac at (0.1999, 0.0000, 0.1909), Ac at (0.2462, 0.3178, 0.1919), Tl at (0.0000, 0.5000, 0.0000), Rh at (0.0000, 0.1671, 0.0000), I at (0.0000, 0.0000, 0.5000) and I at (0.0000, 0.3394, 0.5000).